SnBAu: optimized geometry, PBE-GGA.

Computed properties:
Magnetization (μB per cell): 0.00
Symmetry: No. 2
DFT total energy (eV/atom): -4.358

a = 4.311 Å, b = 4.917 Å, c = 5.924 Å
α = 108.75°, β = 92.82°, γ = 97.11°
Positions (direct):
Sn (0.035, 0.181, 0.306)
Sn (0.965, 0.819, 0.694)
B (0.445, 0.161, 0.047)
B (0.555, 0.839, 0.953)
Au (0.280, 0.394, 0.798)
Au (0.720, 0.606, 0.202)

SnBAu: optimized geometry, PBE-GGA.

Computed properties:
Magnetization (μB per cell): 0.00
Symmetry: No. 12
DFT total energy (eV/atom): -4.366

a = 5.672 Å, b = 5.672 Å, c = 3.771 Å
α = 93.63°, β = 93.63°, γ = 109.30°
Positions (direct):
Sn (0.234, 0.234, 0.460)
Sn (0.766, 0.766, 0.540)
B (0.412, 0.588, 0.000)
B (0.588, 0.412, 0.000)
Au (0.000, 0.500, 0.000)
Au (0.500, 0.000, 0.000)

SnBAu: optimized geometry, PBE-GGA.

Computed properties:
Magnetization (μB per cell): 0.00
Symmetry: No. 1
DFT total energy (eV/atom): -4.458

a = 3.211 Å, b = 6.126 Å, c = 6.227 Å
α = 94.77°, β = 91.22°, γ = 103.71°
Positions (direct):
Sn (0.000, 0.000, 0.000)
Sn (0.325, 0.654, 0.381)
B (0.404, 0.374, 0.628)
B (0.906, 0.369, 0.632)
Au (0.228, 0.499, 0.966)
Au (0.997, 0.019, 0.513)

Sn2BAu: optimized geometry, PBE-GGA.

Computed properties:
Magnetization (μB per cell): 0.00
Symmetry: No. 122
DFT total energy (eV/atom): -4.136

a = 6.536 Å, b = 6.536 Å, c = 6.536 Å
α = 123.86°, β = 123.86°, γ = 83.44°
Positions (direct):
Sn (0.059, 0.625, 0.934)
Sn (0.375, 0.309, 0.434)
Sn (0.691, 0.125, 0.066)
Sn (0.875, 0.941, 0.566)
B (0.000, 0.000, 0.000)
B (0.750, 0.250, 0.500)
Au (0.250, 0.750, 0.500)
Au (0.500, 0.500, 0.000)

Sn3BAu: optimized geometry, PBE-GGA.

Computed properties:
Polymorph energy (0 for the lowest one) (eV/atom): 0.7176
Magnetization (μB per cell): 0.00
Symmetry: No. 221
DFT total energy (eV/atom): -3.132

a = 5.370 Å, b = 5.370 Å, c = 5.370 Å
α = 90.00°, β = 90.00°, γ = 90.00°
Positions (direct):
Sn (0.000, 0.000, 0.500)
Sn (0.000, 0.500, 0.000)
Sn (0.500, 0.000, 0.000)
B (0.500, 0.500, 0.500)
Au (0.000, 0.000, 0.000)

SnBAu: optimized geometry, PBE-GGA.

Computed properties:
Magnetization (μB per cell): 0.00
Symmetry: No. 1
DFT total energy (eV/atom): -4.457

a = 3.221 Å, b = 6.062 Å, c = 6.385 Å
α = 64.23°, β = 89.24°, γ = 83.56°
Positions (direct):
Sn (0.000, 0.000, 0.000)
Sn (0.413, 0.653, 0.639)
B (0.155, 0.576, 0.288)
B (0.669, 0.504, 0.336)
Au (0.419, 0.319, 0.109)
Au (0.841, 0.079, 0.551)

SnBAu: optimized geometry, PBE-GGA.

Computed properties:
Magnetization (μB per cell): 0.00
Symmetry: No. 1
DFT total energy (eV/atom): -4.446

a = 3.179 Å, b = 6.333 Å, c = 6.338 Å
α = 119.02°, β = 90.12°, γ = 90.53°
Positions (direct):
Sn (0.000, 0.000, 0.000)
Sn (0.026, 0.337, 0.662)
B (0.472, 0.638, 0.503)
B (0.973, 0.680, 0.586)
Au (0.065, 0.850, 0.331)
Au (0.517, 0.405, 0.080)

SnBAu: optimized geometry, PBE-GGA.

Computed properties:
Magnetization (μB per cell): 0.00
Symmetry: No. 62
DFT total energy (eV/atom): -4.403

a = 8.195 Å, b = 3.222 Å, c = 8.581 Å
α = 90.00°, β = 90.00°, γ = 90.00°
Positions (direct):
Sn (0.036, 0.250, 0.192)
Sn (0.464, 0.750, 0.692)
Sn (0.536, 0.250, 0.308)
Sn (0.964, 0.750, 0.808)
B (0.000, 0.000, 0.500)
B (0.000, 0.500, 0.500)
B (0.500, 0.000, 0.000)
B (0.500, 0.500, 0.000)
Au (0.235, 0.250, 0.915)
Au (0.265, 0.750, 0.415)
Au (0.735, 0.250, 0.585)
Au (0.765, 0.750, 0.085)

no.,energy of formation from the pure elements (eV/atom)
1,0.294
2,0.286
3,0.194
4,0.354
5,1.261
6,0.196
7,0.207
8,0.250